Entry 1:
{"formula": "HfMg2Fe2", "functional": "PBE", "state": "relaxed", "formation_enthalpy_0k_ev_per_atom": 0.24, "dft_energy_ev_per_atom": -5.779, "m_tot_mub_per_atom": 0.66, "lattice_angstrom": [[6.622, 0.000, 0.000], [0.000, 6.622, 0.000], [0.000, 0.000, 3.909]], "species": ["Hf", "Hf", "Mg", "Mg", "Mg", "Mg", "Fe", "Fe", "Fe", "Fe"], "fractional_positions": [[0.000, 0.000, 0.000], [0.500, 0.500, 0.000], [0.167, 0.333, 0.500], [0.333, 0.833, 0.500], [0.667, 0.167, 0.500], [0.833, 0.667, 0.500], [0.124, 0.624, 0.000], [0.376, 0.124, 0.000], [0.624, 0.876, 0.000], [0.876, 0.376, 0.000]]}



Entry 2:
{"formula": "Hf2MgFe", "functional": "PBE", "state": "relaxed", "formation_enthalpy_0k_ev_per_atom": 0.31, "dft_energy_ev_per_atom": -7.180, "m_tot_mub_per_atom": 0.04, "lattice_angstrom": [[1.591, 0.918, 9.627], [-1.591, 0.918, 9.627], [0.000, -1.837, 9.627]], "species": ["Hf", "Hf", "Mg", "Fe"], "fractional_positions": [[0.106, 0.106, 0.106], [0.894, 0.894, 0.894], [0.000, 0.000, 0.000], [0.500, 0.500, 0.500]]}



Entry 3:
{"formula": "Hf6MgFe", "functional": "PBE", "state": "relaxed", "formation_enthalpy_0k_ev_per_atom": 0.07, "dft_energy_ev_per_atom": -8.657, "m_tot_mub_per_atom": 0.03, "lattice_angstrom": [[5.099, -5.104, 0.000], [5.099, 5.104, 0.000], [0.000, 0.000, 3.200]], "species": ["Hf", "Hf", "Hf", "Hf", "Hf", "Hf", "Mg", "Fe"], "fractional_positions": [[0.000, 0.500, 0.500], [0.218, 0.218, 0.000], [0.218, 0.782, 0.000], [0.500, 0.000, 0.500], [0.782, 0.218, 0.000], [0.782, 0.782, 0.000], [0.500, 0.500, 0.500], [0.000, 0.000, 0.500]]}



Entry 4:
{"formula": "Hf2MgFe", "functional": "PBE", "state": "relaxed", "formation_enthalpy_0k_ev_per_atom": 0.36, "dft_energy_ev_per_atom": -7.130, "m_tot_mub_per_atom": 0.00, "lattice_angstrom": [[-3.733, 3.733, 2.825], [3.733, -3.733, 2.825], [3.733, 3.733, -2.825]], "species": ["Hf", "Hf", "Hf", "Hf", "Mg", "Mg", "Fe", "Fe"], "fractional_positions": [[0.066, 0.625, 0.941], [0.375, 0.316, 0.441], [0.684, 0.125, 0.059], [0.875, 0.934, 0.559], [0.250, 0.750, 0.500], [0.500, 0.500, 0.000], [0.000, 0.000, 0.000], [0.750, 0.250, 0.500]]}



Entry 5:
{"formula": "Hf3MgFe", "functional": "PBE", "state": "relaxed", "formation_enthalpy_0k_ev_per_atom": 0.26, "dft_energy_ev_per_atom": -7.724, "m_tot_mub_per_atom": 0.00, "lattice_angstrom": [[4.811, 0.000, 0.000], [0.000, 4.811, 0.000], [0.000, 0.000, 4.811]], "species": ["Hf", "Hf", "Hf", "Mg", "Fe"], "fractional_positions": [[0.000, 0.000, 0.500], [0.000, 0.500, 0.000], [0.500, 0.000, 0.000], [0.500, 0.500, 0.500], [0.000, 0.000, 0.000]]}



Entry 6:
{"formula": "Hf2MgFe", "functional": "PBE", "state": "relaxed", "formation_enthalpy_0k_ev_per_atom": -0.04, "dft_energy_ev_per_atom": -7.528, "m_tot_mub_per_atom": 0.11, "lattice_angstrom": [[3.194, 0.000, 0.000], [0.000, 3.194, 0.000], [0.000, 0.000, 7.375]], "species": ["Hf", "Hf", "Mg", "Fe"], "fractional_positions": [[0.000, 0.000, 0.206], [0.000, 0.000, 0.794], [0.500, 0.500, 0.500], [0.500, 0.500, 0.000]]}



Entry 7:
{"formula": "HfMgFe2", "functional": "PBE", "state": "relaxed", "formation_enthalpy_0k_ev_per_atom": 0.55, "dft_energy_ev_per_atom": -6.570, "m_tot_mub_per_atom": 0.83, "lattice_angstrom": [[-3.469, 3.469, 2.764], [3.469, -3.469, 2.764], [3.469, 3.469, -2.764]], "species": ["Hf", "Hf", "Mg", "Mg", "Fe", "Fe", "Fe", "Fe"], "fractional_positions": [[0.000, 0.000, 0.000], [0.750, 0.250, 0.500], [0.250, 0.750, 0.500], [0.500, 0.500, 0.000], [0.127, 0.625, 0.002], [0.375, 0.377, 0.502], [0.623, 0.125, 0.998], [0.875, 0.873, 0.498]]}



Entry 8:
{"formula": "HfMgFeNi", "functional": "PBE", "state": "relaxed", "formation_enthalpy_0k_ev_per_atom": -0.14, "dft_energy_ev_per_atom": -6.586, "m_tot_mub_per_atom": 0.00, "lattice_angstrom": [[0.000, 3.086, 3.086], [3.086, 0.000, 3.086], [3.086, 3.086, 0.000]], "species": ["Hf", "Mg", "Fe", "Ni"], "fractional_positions": [[0.000, 0.000, 0.000], [0.500, 0.500, 0.500], [0.250, 0.250, 0.250], [0.750, 0.750, 0.750]]}